# 1
VASP calculation (PBE) on a geometry-optimized CdAgP2 structure.

CIF file:
```
data_CdAgP2
_space_group_name_H-M_alt 'C 1 2/m 1'
_space_group_IT_number 12
_cell_length_a 11.304
_cell_length_b 3.257
_cell_length_c 5.251
_cell_angle_alpha 90.00
_cell_angle_beta 116.67
_cell_angle_gamma 90.00
loop_
_space_group_symop_operation_xyz
'x,y,z'
'-x,-y,-z'
'-x,y,-z'
'x,-y,z'
'x+1/2,y+1/2,z'
'-x+1/2,-y+1/2,-z'
'-x+1/2,y+1/2,-z'
'x+1/2,-y+1/2,z'
loop_
_atom_site_label
_atom_site_type_symbol
_atom_site_fract_x
_atom_site_fract_y
_atom_site_fract_z
Cd1 Cd 0.000 0.000 0.000
Ag1 Ag 0.000 0.500 0.500
P1 P 0.242 0.500 0.635
```


# 2
VASP calculation (PBE) on a geometry-optimized CdAgP2 structure.

CIF file:
```
data_CdAgP2
_space_group_name_H-M_alt 'I m m m'
_space_group_IT_number 71
_space_group_name_Hall '-I 2 2'
_cell_length_a 3.844
_cell_length_b 3.967
_cell_length_c 9.616
_cell_angle_alpha 90.00
_cell_angle_beta 90.00
_cell_angle_gamma 90.00
loop_
_atom_site_label
_atom_site_type_symbol
_atom_site_fract_x
_atom_site_fract_y
_atom_site_fract_z
Cd1 Cd 0.000 0.000 0.000
Ag1 Ag 0.000 0.000 0.500
P1 P 0.000 0.500 0.249
```


# 3
VASP calculation (PBE) on a geometry-optimized CdAgP2 structure.

CIF file:
```
data_CdAgP2
_space_group_name_H-M_alt 'C m m m'
_space_group_IT_number 65
_space_group_name_Hall '-C 2 2'
_cell_length_a 3.772
_cell_length_b 4.281
_cell_length_c 9.062
_cell_angle_alpha 90.00
_cell_angle_beta 90.00
_cell_angle_gamma 90.00
loop_
_atom_site_label
_atom_site_type_symbol
_atom_site_fract_x
_atom_site_fract_y
_atom_site_fract_z
Cd1 Cd 0.000 0.000 0.000
Ag1 Ag 0.000 0.000 0.500
P1 P 0.000 0.500 0.270
```


# 4
VASP calculation (PBE) on a geometry-optimized CdAgP structure.

CIF file:
```
data_CdAgP
_space_group_name_H-M_alt 'I 4 m m'
_space_group_IT_number 107
_space_group_name_Hall 'I 4 -2'
_cell_length_a 3.073
_cell_length_b 3.073
_cell_length_c 11.913
_cell_angle_alpha 90.00
_cell_angle_beta 90.00
_cell_angle_gamma 90.00
loop_
_atom_site_label
_atom_site_type_symbol
_atom_site_fract_x
_atom_site_fract_y
_atom_site_fract_z
Cd1 Cd 0.000 0.000 0.000
Ag1 Ag 0.000 0.000 0.678
P1 P 0.000 0.000 0.328
```


# 5
VASP calculation (PBE) on a geometry-optimized CdAgP2 structure.

CIF file:
```
data_CdAgP2
_space_group_name_H-M_alt 'P 4/m m m'
_space_group_IT_number 123
_space_group_name_Hall '-P 4 2'
_cell_length_a 4.306
_cell_length_b 4.306
_cell_length_c 3.939
_cell_angle_alpha 90.00
_cell_angle_beta 90.00
_cell_angle_gamma 90.00
loop_
_atom_site_label
_atom_site_type_symbol
_atom_site_fract_x
_atom_site_fract_y
_atom_site_fract_z
Cd1 Cd 0.000 0.000 0.000
Ag1 Ag 0.500 0.500 0.000
P1 P 0.000 0.500 0.500
```


# 6
VASP calculation (PBE) on a geometry-optimized CdAgP structure.

CIF file:
```
data_CdAgP
_space_group_name_H-M_alt 'P 3 m 1'
_space_group_IT_number 156
_cell_length_a 4.6448
_cell_length_b 4.6448
_cell_length_c 3.0258
_cell_angle_alpha 90.00
_cell_angle_beta 90.00
_cell_angle_gamma 120.00
loop_
_space_group_symop_operation_xyz
'x,y,z'
'-y,x-y,z'
'-x+y,-x,z'
'-y,-x,z'
'-x+y,y,z'
'x,x-y,z'
loop_
_atom_site_label
_atom_site_type_symbol
_atom_site_fract_x
_atom_site_fract_y
_atom_site_fract_z
Cd1 Cd 0.0000 0.0000 0.0000
Ag1 Ag 0.3333 0.6667 0.5009
P1 P 0.6667 0.3333 0.5030
```


# 7
VASP calculation (PBE) on a geometry-optimized CdAgP structure.

CIF file:
```
data_CdAgP
_space_group_name_H-M_alt 'I 4 m m'
_space_group_IT_number 107
_space_group_name_Hall 'I 4 -2'
_cell_length_a 3.693
_cell_length_b 3.693
_cell_length_c 8.332
_cell_angle_alpha 90.00
_cell_angle_beta 90.00
_cell_angle_gamma 90.00
loop_
_atom_site_label
_atom_site_type_symbol
_atom_site_fract_x
_atom_site_fract_y
_atom_site_fract_z
Cd1 Cd 0.000 0.000 0.000
Ag1 Ag 0.000 0.000 0.670
P1 P 0.000 0.000 0.338
```


# 8
VASP calculation (PBE) on a geometry-optimized CdAgP2 structure.

CIF file:
```
data_CdAgP2
_space_group_name_H-M_alt 'P m m m'
_space_group_IT_number 47
_cell_length_a 3.601
_cell_length_b 4.125
_cell_length_c 4.912
_cell_angle_alpha 90.00
_cell_angle_beta 90.00
_cell_angle_gamma 90.00
loop_
_space_group_symop_operation_xyz
'x,y,z'
'-x,-y,-z'
'-x,-y,z'
'x,y,-z'
'x,-y,-z'
'-x,y,z'
'-x,y,-z'
'x,-y,z'
loop_
_atom_site_label
_atom_site_type_symbol
_atom_site_fract_x
_atom_site_fract_y
_atom_site_fract_z
Cd1 Cd 0.000 0.000 0.000
Ag1 Ag 0.500 0.500 0.000
P1 P 0.000 0.500 0.500
P2 P 0.500 0.000 0.500
```


# 9
VASP calculation (PBE) on a geometry-optimized CdAgP2 structure.

CIF file:
```
data_CdAgP2
_space_group_name_H-M_alt 'C 1 m 1'
_space_group_IT_number 8
_cell_length_a 8.672
_cell_length_b 2.808
_cell_length_c 6.991
_cell_angle_alpha 90.00
_cell_angle_beta 91.29
_cell_angle_gamma 90.00
loop_
_space_group_symop_operation_xyz
'x,y,z'
'x,-y,z'
'x+1/2,y+1/2,z'
'x+1/2,-y+1/2,z'
loop_
_atom_site_label
_atom_site_type_symbol
_atom_site_fract_x
_atom_site_fract_y
_atom_site_fract_z
Cd1 Cd 0.000 0.000 0.000
Ag1 Ag 0.058 0.500 0.360
P1 P 0.265 0.000 0.806
P2 P 0.288 0.000 0.497
```


# 10
VASP calculation (PBE) on a geometry-optimized CdAgP4 structure.

CIF file:
```
data_CdAgP4
_space_group_name_H-M_alt 'F -4 3 m'
_space_group_IT_number 216
_space_group_name_Hall 'F -4 2 3'
_cell_length_a 7.441
_cell_length_b 7.441
_cell_length_c 7.441
_cell_angle_alpha 90.00
_cell_angle_beta 90.00
_cell_angle_gamma 90.00
loop_
_atom_site_label
_atom_site_type_symbol
_atom_site_fract_x
_atom_site_fract_y
_atom_site_fract_z
Cd1 Cd 0.000 0.000 0.000
Ag1 Ag 0.250 0.250 0.250
P1 P 0.124 0.124 0.624
```


# 11
VASP calculation (PBE) on a geometry-optimized CdAgP2 structure.

CIF file:
```
data_CdAgP2
_space_group_name_H-M_alt 'I m m 2'
_space_group_IT_number 44
_cell_length_a 3.274
_cell_length_b 4.106
_cell_length_c 11.651
_cell_angle_alpha 90.00
_cell_angle_beta 90.00
_cell_angle_gamma 90.00
loop_
_space_group_symop_operation_xyz
'x,y,z'
'-x,-y,z'
'-x,y,z'
'x,-y,z'
'x+1/2,y+1/2,z+1/2'
'-x+1/2,-y+1/2,z+1/2'
'-x+1/2,y+1/2,z+1/2'
'x+1/2,-y+1/2,z+1/2'
loop_
_atom_site_label
_atom_site_type_symbol
_atom_site_fract_x
_atom_site_fract_y
_atom_site_fract_z
Cd1 Cd 0.000 0.000 0.000
Ag1 Ag 0.000 0.500 0.823
P1 P 0.000 0.000 0.612
P2 P 0.000 0.500 0.248
```


# 12
VASP calculation (PBE) on a geometry-optimized CdAgP2 structure.

CIF file:
```
data_CdAgP2
_space_group_name_H-M_alt 'P 1 m 1'
_space_group_IT_number 6
_cell_length_a 3.494
_cell_length_b 3.138
_cell_length_c 7.313
_cell_angle_alpha 90.00
_cell_angle_beta 96.86
_cell_angle_gamma 90.00
loop_
_space_group_symop_operation_xyz
'x,y,z'
'x,-y,z'
loop_
_atom_site_label
_atom_site_type_symbol
_atom_site_fract_x
_atom_site_fract_y
_atom_site_fract_z
Cd1 Cd 0.000 0.000 0.000
Ag1 Ag 0.602 0.500 0.259
P1 P 0.228 0.000 0.505
P2 P 0.351 0.500 0.707
```


# 13
VASP calculation (PBE) on a geometry-optimized CdAgP2 structure.

CIF file:
```
data_CdAgP2
_space_group_name_H-M_alt 'C m m 2'
_space_group_IT_number 35
_cell_length_a 3.132
_cell_length_b 4.964
_cell_length_c 10.173
_cell_angle_alpha 90.00
_cell_angle_beta 90.00
_cell_angle_gamma 90.00
loop_
_space_group_symop_operation_xyz
'x,y,z'
'-x,-y,z'
'-x,y,z'
'x,-y,z'
'x+1/2,y+1/2,z'
'-x+1/2,-y+1/2,z'
'-x+1/2,y+1/2,z'
'x+1/2,-y+1/2,z'
loop_
_atom_site_label
_atom_site_type_symbol
_atom_site_fract_x
_atom_site_fract_y
_atom_site_fract_z
Cd1 Cd 0.000 0.000 0.000
Ag1 Ag 0.000 0.500 0.744
P1 P 0.000 0.000 0.482
P2 P 0.000 0.500 0.325
```


# 14
# Cd3AgP (PBE, relaxed)
# Distance to the lowest polymorph of the same formula, meV per atom: 271
data_Cd3AgP
_space_group_name_H-M_alt 'P m -3 m'
_space_group_IT_number 221
_space_group_name_Hall '-P 4 2 3'
_cell_length_a 5.185
_cell_length_b 5.185
_cell_length_c 5.185
_cell_angle_alpha 90.00
_cell_angle_beta 90.00
_cell_angle_gamma 90.00
loop_
_atom_site_label
_atom_site_type_symbol
_atom_site_fract_x
_atom_site_fract_y
_atom_site_fract_z
Cd1 Cd 0.000 0.000 0.500
Ag1 Ag 0.000 0.000 0.000
P1 P 0.500 0.500 0.500


# 15
VASP calculation (PBE) on a geometry-optimized CdAgP2 structure.

CIF file:
```
data_CdAgP2
_space_group_name_H-M_alt 'R -3 m'
_space_group_IT_number 166
_space_group_name_Hall '-R 3 2"'
_cell_length_a 3.9002
_cell_length_b 3.9002
_cell_length_c 17.5211
_cell_angle_alpha 90.00
_cell_angle_beta 90.00
_cell_angle_gamma 120.00
loop_
_atom_site_label
_atom_site_type_symbol
_atom_site_fract_x
_atom_site_fract_y
_atom_site_fract_z
Cd1 Cd 0.0000 0.0000 0.0000
Ag1 Ag 0.0000 0.0000 0.5000
P1 P 0.0000 0.0000 0.2397
```


# 16
VASP calculation (PBE) on a geometry-optimized CdAgP2 structure.

CIF file:
```
data_CdAgP2
_space_group_name_H-M_alt 'F -4 3 m'
_space_group_IT_number 216
_space_group_name_Hall 'F -4 2 3'
_cell_length_a 6.637
_cell_length_b 6.637
_cell_length_c 6.637
_cell_angle_alpha 90.00
_cell_angle_beta 90.00
_cell_angle_gamma 90.00
loop_
_atom_site_label
_atom_site_type_symbol
_atom_site_fract_x
_atom_site_fract_y
_atom_site_fract_z
Cd1 Cd 0.000 0.000 0.000
Ag1 Ag 0.250 0.250 0.250
P1 P 0.000 0.000 0.500
P2 P 0.250 0.250 0.750
```


# 17
# CdAgP3 (PBE, relaxed)
# Distance to the lowest polymorph of the same formula, meV per atom: 0
data_CdAgP3
_space_group_name_H-M_alt 'P m -3 m'
_space_group_IT_number 221
_space_group_name_Hall '-P 4 2 3'
_cell_length_a 4.848
_cell_length_b 4.848
_cell_length_c 4.848
_cell_angle_alpha 90.00
_cell_angle_beta 90.00
_cell_angle_gamma 90.00
loop_
_atom_site_label
_atom_site_type_symbol
_atom_site_fract_x
_atom_site_fract_y
_atom_site_fract_z
Cd1 Cd 0.000 0.000 0.000
Ag1 Ag 0.500 0.500 0.500
P1 P 0.000 0.500 0.500


# 18
VASP calculation (PBE) on a geometry-optimized CdAgP2 structure.

CIF file:
```
data_CdAgP2
_space_group_name_H-M_alt 'I -4 2 d'
_space_group_IT_number 122
_space_group_name_Hall 'I -4 2bw'
_cell_length_a 3.981
_cell_length_b 3.981
_cell_length_c 19.589
_cell_angle_alpha 90.00
_cell_angle_beta 90.00
_cell_angle_gamma 90.00
loop_
_atom_site_label
_atom_site_type_symbol
_atom_site_fract_x
_atom_site_fract_y
_atom_site_fract_z
Cd1 Cd 0.000 0.000 0.000
Ag1 Ag 0.000 0.000 0.500
P1 P 0.168 0.250 0.625
```


# 19
VASP calculation (PBE) on a geometry-optimized CdAgP2 structure.

CIF file:
```
data_CdAgP2
_space_group_name_H-M_alt 'R 3 m'
_space_group_IT_number 160
_space_group_name_Hall 'R 3 -2"'
_cell_length_a 3.3075
_cell_length_b 3.3075
_cell_length_c 23.4592
_cell_angle_alpha 90.00
_cell_angle_beta 90.00
_cell_angle_gamma 120.00
loop_
_atom_site_label
_atom_site_type_symbol
_atom_site_fract_x
_atom_site_fract_y
_atom_site_fract_z
Cd1 Cd 0.0000 0.0000 0.0000
Ag1 Ag 0.0000 0.0000 0.2399
P1 P 0.0000 0.0000 0.4851
P2 P 0.0000 0.0000 0.7650
```


# 20
VASP calculation (PBE) on a geometry-optimized CdAgP2 structure.

CIF file:
```
data_CdAgP2
_space_group_name_H-M_alt 'C 1 2/m 1'
_space_group_IT_number 12
_cell_length_a 6.129
_cell_length_b 8.044
_cell_length_c 2.989
_cell_angle_alpha 90.00
_cell_angle_beta 96.94
_cell_angle_gamma 90.00
loop_
_space_group_symop_operation_xyz
'x,y,z'
'-x,-y,-z'
'-x,y,-z'
'x,-y,z'
'x+1/2,y+1/2,z'
'-x+1/2,-y+1/2,-z'
'-x+1/2,y+1/2,-z'
'x+1/2,-y+1/2,z'
loop_
_atom_site_label
_atom_site_type_symbol
_atom_site_fract_x
_atom_site_fract_y
_atom_site_fract_z
Cd1 Cd 0.000 0.000 0.000
Ag1 Ag 0.000 0.500 0.000
P1 P 0.250 0.250 0.500
```


no.,formation energy from the elements (eV/atom),total magnetic moment (μB/cell),V (Å³ per atom)
1,0.065,0.0,21.6
2,0.491,0.0,18.3
3,0.497,0.0,18.3
4,0.318,0.0,18.8
5,0.485,0.0,18.3
6,0.279,0.0,18.8
7,0.266,0.0,18.9
8,0.485,0.0,18.2
9,0.173,0.0,21.3
10,0.546,0.0,17.2
11,0.231,0.0,19.6
12,0.217,0.0,19.9
13,0.368,0.0,19.8
14,0.685,0.0,27.9
15,0.364,0.0,19.2
16,0.567,0.0,18.3
17,1.107,0.0,22.8
18,0.290,0.0,19.4
19,0.113,0.0,18.5
20,0.484,0.0,18.3